Entry 1:
Computed, not measured: a relaxed structure of K2RbBiBr6 at the PBE level of DFT.

```
10
Lattice="0.0000 6.0978 6.0978 6.0978 0.0000 6.0978 6.0978 6.0978 0.0000" Properties=species:S:1:pos:R:3 pbc="T T T"
K 3.0489 3.0489 3.0489
K 9.1466 9.1466 9.1466
Rb 0.0000 0.0000 0.0000
Bi 6.0978 6.0978 6.0978
Br 6.0978 6.0978 3.2379
Br 6.0978 3.2379 6.0978
Br 8.9576 6.0978 6.0978
Br 3.2379 6.0978 6.0978
Br 6.0978 8.9576 6.0978
Br 6.0978 6.0978 8.9576
```

Total magnetization (μB per atom): 0.000
Excess energy over the best structure of this formula in the dataset (eV per atom): 0.1021
SG: No. 225
Uncorrected formation energy (eV per atom): -1.26

---

Entry 2:
Computed, not measured: a relaxed structure of K2RbBiBr6 at the PBE level of DFT.

```
10
Lattice="4.1215 2.3796 7.1852 -4.1215 2.3796 7.1852 0.0000 -4.7591 7.1852" Properties=species:S:1:pos:R:3 pbc="T T T"
K 0.0000 0.0000 0.0000
K 0.0000 0.0000 10.5006
Rb 0.0000 0.0000 4.3814
Bi 0.0000 0.0000 14.8907
Br -1.6710 -2.6281 9.2610
Br -2.2555 -0.0002 13.0891
Br -1.4405 2.7612 9.2610
Br 1.1279 -1.9532 13.0890
Br 3.1115 -0.1331 9.2610
Br 1.1276 1.9534 13.0890
```

Total magnetization (μB per atom): 0.000
Excess energy over the best structure of this formula in the dataset (eV per atom): 0.0000
SG: No. 146
Uncorrected formation energy (eV per atom): -1.37

---

Entry 3:
Computed, not measured: a relaxed structure of KBiSeBr2 at the PBE level of DFT.

```
5
Lattice="5.6870 0.0000 0.0000 0.0000 5.6870 0.0000 0.0000 0.0000 5.9109" Properties=species:S:1:pos:R:3 pbc="T T T"
K 0.0000 0.0000 0.0000
Bi 2.8435 2.8435 2.9555
Se 0.0000 0.0000 2.9555
Br 0.0000 2.8435 0.0000
Br 2.8435 0.0000 0.0000
```

Total magnetization (μB per atom): 0.001
Excess energy over the best structure of this formula in the dataset (eV per atom): 0.9734
SG: No. 123
Uncorrected formation energy (eV per atom): 0.16

---

Entry 4:
Computed, not measured: a relaxed structure of KBiSeBr2 at the PBE level of DFT.

```
5
Lattice="5.8740 0.0000 0.0000 0.0000 5.8740 0.0000 0.0000 0.0000 5.5570" Properties=species:S:1:pos:R:3 pbc="T T T"
K 0.0000 0.0000 0.0000
Bi 2.9370 2.9370 2.7785
Se 2.9370 2.9370 0.0000
Br 0.0000 2.9370 2.7785
Br 2.9370 0.0000 2.7785
```

Total magnetization (μB per atom): 0.000
Excess energy over the best structure of this formula in the dataset (eV per atom): 0.0000
SG: No. 123
Uncorrected formation energy (eV per atom): -0.81

---

Number 1: electronic total energy -2.97 eV/atom. Number 2: electronic total energy -3.07 eV/atom. Number 3: electronic total energy -2.20 eV/atom. Number 4: electronic total energy -3.17 eV/atom.